A plane-wave DFT calculation with PBE was carried out for a relaxed YBiO2F crystal.

Unit cell a=4.5322 b=4.5322 c=4.4952 alpha=90.00 beta=90.00 gamma=90.00
Atoms (fractional coordinates):
F 0.0000 0.0000 0.5000
Bi 0.0000 0.0000 0.0000
O 0.5000 0.0000 0.0000
O 0.0000 0.5000 0.0000
Y 0.5000 0.5000 0.5000

Output
**SG**: P4/mmm (123)
**Uncorrected formation energy**: -6.67 eV/f.u.
**DOS at the Fermi energy**: 2.4 states/eV/cell
**Crystal system**: tetragonal
**Uncorrected energy**: -28.8 eV per cell
**Total moment**: 0.74 Bohr magnetons per cell

A plane-wave DFT calculation with PBE was carried out for a relaxed Y2BiO4F crystal.

Unit cell a=3.4013 b=5.7767 c=7.0049 alpha=60.24 beta=75.95 gamma=72.88
Atoms (fractional coordinates):
O 0.8178 0.0321 0.3323
F 0.5000 0.5000 0.5000
Bi 0.0000 0.0000 0.0000
O 0.1822 0.9679 0.6677
O 0.3621 0.3443 0.9314
Y 0.8069 0.6891 0.6971
O 0.6379 0.6557 0.0686
Y 0.1931 0.3109 0.3029

Output
**SG**: C2/m (12)
**Uncorrected formation energy**: -22.21 eV/f.u.
**DOS at the Fermi energy**: 0.0 states/eV/cell
**Crystal system**: monoclinic
**Uncorrected energy**: -60.7 eV per cell
**Total moment**: 0.00 Bohr magnetons per cell

A plane-wave DFT calculation with PBE was carried out for a relaxed YBiO2F crystal.

Unit cell a=4.4541 b=4.4541 c=4.2970 alpha=90.00 beta=90.00 gamma=90.00
Atoms (fractional coordinates):
O 0.5000 0.0000 0.0000
Bi 0.5000 0.5000 0.5000
Y 0.0000 0.0000 0.0000
O 0.0000 0.5000 0.0000
F 0.0000 0.0000 0.5000

Output
**SG**: P4/mmm (123)
**Uncorrected formation energy**: -10.55 eV/f.u.
**DOS at the Fermi energy**: 1.5 states/eV/cell
**Crystal system**: tetragonal
**Uncorrected energy**: -32.7 eV per cell
**Total moment**: 0.00 Bohr magnetons per cell

A plane-wave DFT calculation with PBE was carried out for a relaxed ZrBiO2F crystal.

Unit cell a=4.5465 b=4.5465 c=4.3930 alpha=90.00 beta=90.00 gamma=90.00
Atoms (fractional coordinates):
O 0.0000 0.5000 0.0000
F 0.0000 0.0000 0.5000
Bi 0.0000 0.0000 0.0000
Zr 0.5000 0.5000 0.5000
O 0.5000 0.0000 0.0000

Output
**SG**: P4/mmm (123)
**Uncorrected formation energy**: -3.76 eV/f.u.
**DOS at the Fermi energy**: 4.1 states/eV/cell
**Crystal system**: tetragonal
**Uncorrected energy**: -28.0 eV per cell
**Total moment**: 2.07 Bohr magnetons per cell

A plane-wave DFT calculation with PBE was carried out for a relaxed ZrBiOF2 crystal.

Unit cell a=4.8922 b=3.8315 c=4.8922 alpha=90.00 beta=90.00 gamma=90.00
Atoms (fractional coordinates):
F 0.0000 0.0000 0.5000
Bi 0.5000 0.5000 0.5000
O 0.0000 0.0000 0.0000
Zr 0.0000 0.5000 0.0000
F 0.5000 0.0000 0.0000

Output
**SG**: P4/mmm (123)
**Uncorrected formation energy**: -6.48 eV/f.u.
**DOS at the Fermi energy**: 3.2 states/eV/cell
**Crystal system**: tetragonal
**Uncorrected energy**: -27.6 eV per cell
**Offset from the most stable computed form**: 0.733 eV/atom
**Total moment**: 0.00 Bohr magnetons per cell

A plane-wave DFT calculation with PBE was carried out for a relaxed ZrBiO2F crystal.

Unit cell a=4.2161 b=4.2161 c=4.4059 alpha=90.00 beta=90.00 gamma=90.00
Atoms (fractional coordinates):
Bi 0.5000 0.5000 0.5000
F 0.0000 0.0000 0.5000
Zr 0.0000 0.0000 0.0000
O 0.5000 0.0000 0.0000
O 0.0000 0.5000 0.0000

Output
**SG**: P4/mmm (123)
**Uncorrected formation energy**: -10.20 eV/f.u.
**DOS at the Fermi energy**: 2.4 states/eV/cell
**Crystal system**: tetragonal
**Uncorrected energy**: -34.4 eV per cell
**Total moment**: 0.00 Bohr magnetons per cell